## SnAsBr5 (GGA-PBE)

Data for a relaxed structure of SnAsBr5.

The structure belongs to space group P2_1/c (No. 14); the cell edges are 7.4891, 14.2555 and 11.0147 Å and the angles 90.00°, 103.34° and 90.00°. The asymmetric unit holds Sn at (0.1587, 0.2446, 0.1415), As at (0.3539, 0.5147, 0.3139), Br at (0.0366, 0.1089, 0.2678), Br at (0.1709, 0.1415, 0.8573), Br at (0.3268, 0.0251, 0.5993), Br at (0.3465, 0.5540, 0.6028) and Br at (0.4780, 0.6949, 0.2842).

As for the total magnetization: 0.0 μB/f.u. For the formation energy (no corrections), the calculation gives -0.538 eV per atom.

---

## Sn2As2Br (GGA-PBE)

Data for a relaxed structure of Sn2As2Br.

The structure belongs to space group P4/mbm (No. 127); the cell edges are 8.6097, 8.6097 and 3.7160 Å and the angles 90.00°, 90.00° and 90.00°. The asymmetric unit holds Sn at (0.1555, 0.3445, 0.0000), As at (0.1061, 0.6061, 0.5000) and Br at (0.0000, 0.0000, 0.5000).

As for the total magnetization: 0.0 μB/f.u. The distance to the lowest polymorph of the same formula comes out at 183 meV/atom. For the formation energy (no corrections), the calculation gives 0.030 eV per atom.

---

## SnAsBr2 (GGA-PBE)

Data for a relaxed structure of SnAsBr2.

The structure belongs to space group Fm-3m (No. 225); the cell edges are 7.5200, 7.5200 and 7.5200 Å and the angles 90.00°, 90.00° and 90.00°. The asymmetric unit holds Sn at (0.0000, 0.0000, 0.0000), As at (0.0000, 0.0000, 0.5000) and Br at (0.2500, 0.2500, 0.2500).

As for the total magnetization: 1.9 μB/f.u. The distance to the lowest polymorph of the same formula comes out at 196 meV/atom. For the formation energy (no corrections), the calculation gives 0.244 eV per atom.

---

## SnAsBr2 (GGA-PBE)

Data for a relaxed structure of SnAsBr2.

The structure belongs to space group R-3m (No. 166, hexagonal axes); the cell edges are 3.4798, 3.4798 and 30.5658 Å and the angles 90.00°, 90.00° and 120.00°. The asymmetric unit holds Sn at (0.0000, 0.0000, 0.0000), As at (0.0000, 0.0000, 0.5000) and Br at (0.0000, 0.0000, 0.0942).

As for the total magnetization: 0.0 μB/f.u. The distance to the lowest polymorph of the same formula comes out at 103 meV/atom. For the formation energy (no corrections), the calculation gives 0.151 eV per atom.